Entry from Alexandria: a relaxed structure of YCr2Se (PBE).

**Theoretical density**: 5.9 g/cm3
**Formation energy without anion corrections**: 0.22 eV/atom
**Total magnetic moment**: 0.00 μB per cell

The structure in CIF format:
```
data_YCr2Se
_symmetry_space_group_name_H-M 'I -4 2 d'
_symmetry_Int_Tables_number 122
_symmetry_space_group_name_Hall 'I -4 2bw'
_cell_length_a 4.1523
_cell_length_b 4.1523
_cell_length_c 17.6712
_cell_angle_alpha 90.00
_cell_angle_beta 90.00
_cell_angle_gamma 90.00
loop_
_atom_site_label
_atom_site_type_symbol
_atom_site_fract_x
_atom_site_fract_y
_atom_site_fract_z
_atom_site_occupancy
Y1 Y 0.0000 0.0000 0.0000 1
Cr1 Cr 0.0798 0.2500 0.6250 1
Se1 Se 0.0000 0.0000 0.5000 1
```